VASP calculation (PBE-GGA) on a geometry-optimized RbMn3Cu structure.

**E_form**: 1.001 eV/atom
**ΔE to the lowest computed polymorph**: 0.0 meV/atom
**Fermi-level density of states**: 0.846 states/eV per atom

abc: 4.947 4.947 4.947
angles: 90.00 90.00 90.00
Space group Pm-3m (No. 221)
Symmetry-distinct sites (fractional):
Rb1 0.000 0.000 0.000 (multiplicity 1)
Mn1 0.000 0.500 0.500 (multiplicity 3)
Cu1 0.500 0.500 0.500 (multiplicity 1)

=====

VASP calculation (PBE-GGA) on a geometry-optimized Pr2DyNi structure.

**E_form**: -0.036 eV/atom
**ΔE to the lowest computed polymorph**: 92.9 meV/atom
**Fermi-level density of states**: 1.862 states/eV per atom

abc: 3.591 3.591 8.737
angles: 90.00 90.00 90.00
Space group P4/mmm (No. 123)
Symmetry-distinct sites (fractional):
Pr1 0.000 0.000 0.194 (multiplicity 2)
Dy1 0.500 0.500 0.500 (multiplicity 1)
Ni1 0.500 0.500 0.000 (multiplicity 1)

=====

VASP calculation (PBE-GGA) on a geometry-optimized Te4Rh structure.

**Raw formation energy**: 0.2824 eV per atom
**ΔE to the lowest computed polymorph**: 368.7 meV/atom
**Fermi-level density of states**: 1.147 states/eV per atom

abc: 5.226 5.226 5.226
angles: 90.00 90.00 90.00
Space group Pm-3m (No. 221)
Symmetry-distinct sites (fractional):
Te1 0.000 0.000 0.000 (multiplicity 1)
Te2 0.000 0.500 0.500 (multiplicity 3)
Rh1 0.500 0.500 0.500 (multiplicity 1)

=====

VASP calculation (PBE-GGA) on a geometry-optimized TiVNi2Se structure.

**Raw formation energy**: 0.4177 eV per atom
**Fermi-level density of states**: 1.177 states/eV per atom

abc: 4.264 4.264 4.522
angles: 90.00 90.00 90.00
Space group P4/mmm (No. 123)
Symmetry-distinct sites (fractional):
Ti1 0.000 0.000 0.000 (multiplicity 1)
V1 0.500 0.500 0.000 (multiplicity 1)
Ni1 0.000 0.500 0.500 (multiplicity 2)
Se1 0.500 0.500 0.500 (multiplicity 1)

=====

VASP calculation (PBE-GGA) on a geometry-optimized LaMgSc2 structure.

**E_form**: 0.023 eV/atom
**Fermi-level density of states**: 1.356 states/eV per atom

abc: 3.638 5.508 10.833
angles: 90.00 90.00 90.00
Space group Immm (No. 71)
Symmetry-distinct sites (fractional):
La1 0.000 0.000 0.000 (multiplicity 2)
Mg1 0.000 0.000 0.500 (multiplicity 2)
Sc1 0.000 0.500 0.230 (multiplicity 4)

=====

VASP calculation (PBE-GGA) on a geometry-optimized VAgS2 structure.

**Raw formation energy**: -0.5597 eV per atom
**Fermi-level density of states**: 0.045 states/eV per atom

abc: 7.436 3.160 13.994
angles: 90.00 90.00 90.00
Space group Pnma (No. 62)
Symmetry-distinct sites (fractional):
V1 0.052 0.250 0.073 (multiplicity 4)
Ag1 0.053 0.750 0.308 (multiplicity 4)
S1 0.177 0.250 0.923 (multiplicity 4)
S2 0.230 0.750 0.156 (multiplicity 4)

=====

VASP calculation (PBE-GGA) on a geometry-optimized BaTl2Ag structure.

**E_form**: -0.121 eV/atom
**ΔE to the lowest computed polymorph**: 136.7 meV/atom
**Fermi-level density of states**: 0.664 states/eV per atom

abc: 4.664 5.006 5.445
angles: 90.00 90.00 90.00
Space group Pmmm (No. 47)
Symmetry-distinct sites (fractional):
Ba1 0.000 0.000 0.000 (multiplicity 1)
Tl1 0.000 0.500 0.500 (multiplicity 1)
Tl2 0.500 0.000 0.500 (multiplicity 1)
Ag1 0.500 0.500 0.000 (multiplicity 1)

=====

VASP calculation (PBE-GGA) on a geometry-optimized Pm7PrSm3 structure.

**E_form**: 0.177 eV/atom
**ΔE to the lowest computed polymorph**: 0.0 meV/atom
**Fermi-level density of states**: 1.553 states/eV per atom

abc: 7.2394 7.2394 8.7658
angles: 90.00 90.00 120.00
Space group P3m1 (No. 156)
Symmetry-distinct sites (fractional):
Pm1 0.0000 0.0000 0.0000 (multiplicity 1)
Pm2 0.1661 0.3321 0.3298 (multiplicity 3)
Pm3 0.5004 0.0008 0.9905 (multiplicity 3)
Pr1 0.6667 0.3333 0.3206 (multiplicity 1)
Sm1 0.3328 0.1664 0.6610 (multiplicity 3)